# AlTc2Ge PBE relaxed
data_AlTc2Ge
_chemical_formula_sum 'Al2 Tc4 Ge2'
_symmetry_space_group_name_H-M 'I m m m'
_symmetry_Int_Tables_number 71
_symmetry_space_group_name_Hall '-I 2 2'
_cell_length_a 3.014
_cell_length_b 4.206
_cell_length_c 10.522
_cell_angle_alpha 90.00
_cell_angle_beta 90.00
_cell_angle_gamma 90.00
loop_
_atom_site_label
_atom_site_type_symbol
_atom_site_fract_x
_atom_site_fract_y
_atom_site_fract_z
Al1 Al 0.000 0.000 0.000
Tc1 Tc 0.000 0.000 0.259
Ge1 Ge 0.000 0.000 0.500
# * ΔH_f (0 K): 587.3 meV per atom
# * uncorrected energy: -6.69 eV/atom
# * excess energy over the best structure of this formula in the dataset: 17.38 kcal/mol of atoms
# * magnetic moment: 0.0 μB/f.u.